# 1
Computed, not measured: TlHg3BiPb after structural relaxation at the GGA-PBE level of DFT.

POSCAR file:
```
TlHg3BiPb
1.0
4.069 0.000 0.000
0.000 8.399 -0.065
0.000 -4.059 10.375
Hg Tl Pb Bi
6 2 2 2
Direct
0.250 0.107 0.951 Hg
0.250 0.565 0.424 Hg
0.750 0.893 0.049 Hg
0.750 0.354 0.183 Hg
0.750 0.435 0.576 Hg
0.250 0.646 0.817 Hg
0.250 0.632 0.129 Tl
0.750 0.368 0.871 Tl
0.750 0.871 0.695 Pb
0.250 0.129 0.305 Pb
0.250 0.139 0.605 Bi
0.750 0.861 0.395 Bi
```

Results
The space group is P2_1/m (11). The calculated formation energy comes out at 0.03 eV per atom. The value obtained for the magnetization is 0.0 μB/f.u. Its volume is 177 Å³/f.u.


# 2
Computed, not measured: DyGe4Pd2 after structural relaxation at the GGA-PBE level of DFT.

POSCAR file:
```
DyGe4Pd2
1.0
-0.258 3.663 2.301
-5.235 2.134 -3.983
-11.235 -7.532 10.730
Ge Dy Pd
16 4 8
Direct
0.250 0.247 0.193 Ge
0.750 0.753 0.807 Ge
0.250 0.359 0.040 Ge
0.250 0.470 0.436 Ge
0.750 0.335 0.323 Ge
0.250 0.835 0.177 Ge
0.750 0.165 0.823 Ge
0.750 0.747 0.307 Ge
0.250 0.253 0.693 Ge
0.750 0.530 0.564 Ge
0.250 0.665 0.677 Ge
0.750 0.970 0.064 Ge
0.250 0.141 0.540 Ge
0.250 0.030 0.936 Ge
0.750 0.859 0.460 Ge
0.750 0.641 0.960 Ge
0.250 0.020 0.358 Dy
0.750 0.980 0.642 Dy
0.750 0.520 0.142 Dy
0.250 0.480 0.858 Dy
0.250 0.735 0.030 Pd
0.750 0.054 0.215 Pd
0.750 0.265 0.970 Pd
0.750 0.446 0.715 Pd
0.250 0.946 0.785 Pd
0.250 0.765 0.530 Pd
0.250 0.554 0.285 Pd
0.750 0.235 0.470 Pd
```

Results
The space group is Pnma (62). The calculated formation energy comes out at -0.51 eV per atom. The value obtained for the magnetization is 0.0 μB/f.u. Its volume is 129 Å³/f.u.


# 3
Computed, not measured: TiCdAgF6 after structural relaxation at the GGA-PBE level of DFT.

POSCAR file:
```
TiCdAgF6
1.0
-2.161 0.419 5.455
0.888 -5.290 -2.413
8.801 -0.118 3.495
F Cd Ti Ag
12 2 2 2
Direct
0.392 0.348 0.361 F
0.608 0.956 0.861 F
0.956 0.348 0.139 F
0.652 0.608 0.139 F
0.044 0.392 0.639 F
0.044 0.652 0.861 F
0.608 0.652 0.639 F
0.348 0.956 0.639 F
0.348 0.392 0.861 F
0.956 0.608 0.361 F
0.652 0.044 0.361 F
0.392 0.044 0.139 F
0.333 0.667 0.250 Cd
0.667 0.333 0.750 Cd
0.333 0.667 0.750 Ti
0.667 0.333 0.250 Ti
0.000 0.000 0.000 Ag
0.000 0.000 0.500 Ag
```

Results
As for the raw formation energy: -2083 kJ/mol of formula units. The space group is P-31c (163). The value obtained for the magnetization is 0.8 μB/f.u. Its volume is 142 Å³/f.u.


# 4
Computed, not measured: TbNd3Y4 after structural relaxation at the GGA-PBE level of DFT.

POSCAR file:
```
TbNd3Y4
1.0
3.379 0.000 0.875
1.182 8.587 2.397
-0.508 -1.047 8.918
Y Tb Nd
4 1 3
Direct
0.366 0.381 0.887 Y
0.634 0.619 0.113 Y
0.634 0.113 0.619 Y
0.366 0.887 0.381 Y
0.500 0.000 0.000 Tb
0.000 0.500 0.500 Nd
0.242 0.758 0.758 Nd
0.758 0.242 0.242 Nd
```

Results
The space group is Immm (71). The calculated formation energy comes out at 0.13 eV per atom. The value obtained for the magnetization is 0.0 μB/f.u. Its volume is 270 Å³/f.u.


# 5
Computed, not measured: KCa after structural relaxation at the GGA-PBE level of DFT.

POSCAR file:
```
KCa
1.0
5.640 0.000 0.000
0.000 5.640 0.000
0.000 0.000 6.719
K Ca
2 2
Direct
0.750 0.750 0.499 K
0.250 0.250 0.501 K
0.250 0.750 0.000 Ca
0.750 0.250 0.000 Ca
```

Results
The space group is P4/nmm (129). The calculated formation energy comes out at 0.20 eV per atom. The value obtained for the magnetization is 0.0 μB/f.u. Its volume is 107 Å³/f.u.


# 6
Computed, not measured: TlPdF3 after structural relaxation at the GGA-PBE level of DFT.

POSCAR file:
```
TlPdF3
1.0
-1.136 3.506 -1.029
-4.531 -1.004 -0.094
0.378 1.803 4.223
Tl F Pd
1 3 1
Direct
0.980 0.000 0.477 Tl
0.467 0.085 0.123 F
0.472 0.648 0.555 F
0.022 0.617 0.084 F
0.468 0.359 0.831 Pd
```

Results
As for the raw formation energy: -661 kJ/mol of formula units. The space group is P1 (1). The value obtained for the magnetization is 0.0 μB/f.u. Its volume is 80 Å³/f.u.


# 7
Computed, not measured: Tm3HgS after structural relaxation at the GGA-PBE level of DFT.

POSCAR file:
```
Tm3HgS
1.0
3.831 0.000 0.000
0.000 8.827 0.000
0.000 0.000 14.508
Tm S Hg
12 4 4
Direct
0.250 0.525 0.390 Tm
0.250 0.163 0.525 Tm
0.750 0.201 0.283 Tm
0.250 0.299 0.783 Tm
0.250 0.663 0.975 Tm
0.750 0.975 0.890 Tm
0.750 0.837 0.475 Tm
0.250 0.799 0.717 Tm
0.750 0.475 0.610 Tm
0.750 0.701 0.217 Tm
0.750 0.337 0.025 Tm
0.250 0.025 0.110 Tm
0.250 0.668 0.553 S
0.750 0.832 0.053 S
0.750 0.332 0.447 S
0.250 0.168 0.947 S
0.250 0.429 0.180 Hg
0.250 0.929 0.320 Hg
0.750 0.071 0.680 Hg
0.750 0.571 0.820 Hg
```

Results
As for the raw formation energy: -478 kJ/mol of formula units. The space group is Pnma (62). The value obtained for the magnetization is 0.0 μB/f.u. Its volume is 123 Å³/f.u.


# 8
Computed, not measured: VCr3Fe after structural relaxation at the GGA-PBE level of DFT.

POSCAR file:
```
VCr3Fe
1.0
4.223 0.000 0.000
0.000 4.223 0.000
0.000 0.000 4.223
Cr V Fe
3 1 1
Direct
0.000 0.000 0.500 Cr
0.500 0.000 0.000 Cr
0.000 0.500 0.000 Cr
0.500 0.500 0.500 V
0.000 0.000 0.000 Fe
```

Results
The space group is Pm-3m (221). The calculated formation energy comes out at 1.11 eV per atom. The value obtained for the magnetization is 1.9 μB/f.u. Its volume is 75 Å³/f.u.


# 9
Computed, not measured: K2SrIn after structural relaxation at the GGA-PBE level of DFT.

POSCAR file:
```
K2SrIn
1.0
-0.560 3.926 -1.452
0.319 -1.419 -3.958
-11.282 -1.719 -0.293
K In Sr
2 1 1
Direct
0.000 0.000 0.932 K
0.500 0.500 0.271 K
0.500 0.500 0.724 In
0.000 0.000 0.573 Sr
```

Results
The space group is P4mm (99). The calculated formation energy comes out at -0.08 eV per atom. The value obtained for the magnetization is 0.0 μB/f.u. Its volume is 203 Å³/f.u.


# 10
Computed, not measured: La6ZnOs2Br3 after structural relaxation at the GGA-PBE level of DFT.

POSCAR file:
```
La6ZnOs2Br3
1.0
-4.584 2.663 -5.114
0.789 -7.279 0.810
-4.655 1.482 6.709
La Os Zn Br
6 2 1 3
Direct
0.067 0.425 0.200 La
0.425 0.067 0.200 La
0.575 0.933 0.800 La
0.708 0.708 0.200 La
0.292 0.292 0.800 La
0.933 0.575 0.800 La
0.333 0.667 0.000 Os
0.667 0.333 0.000 Os
0.000 0.000 0.000 Zn
0.500 0.500 0.500 Br
0.166 0.834 0.500 Br
0.834 0.166 0.500 Br
```

Results
As for the raw formation energy: -994 kJ/mol of formula units. The space group is C2/m (12). The value obtained for the magnetization is 0.0 μB/f.u. Its volume is 373 Å³/f.u.


# 11
Computed, not measured: SrCr2Si after structural relaxation at the GGA-PBE level of DFT.

POSCAR file:
```
SrCr2Si
1.0
4.945 -0.091 -0.175
0.092 4.945 0.175
-1.949 -3.018 3.404
Cr Sr Si
2 1 1
Direct
0.747 0.247 0.500 Cr
0.942 0.942 0.000 Cr
0.254 0.754 0.500 Sr
0.556 0.556 0.000 Si
```

Results
As for the raw formation energy: 185 kJ/mol of formula units. The space group is Imm2 (44). The value obtained for the magnetization is 0.3 μB/f.u. Its volume is 84 Å³/f.u.


# 12
Computed, not measured: As2PtPb after structural relaxation at the GGA-PBE level of DFT.

POSCAR file:
```
As2PtPb
1.0
-5.634 -1.877 3.802
-4.306 -5.173 2.100
-2.566 -3.799 5.357
Pt As Pb
1 2 1
Direct
0.750 0.750 0.750 Pt
0.477 0.477 0.477 As
0.023 0.023 0.023 As
0.250 0.250 0.250 Pb
```

Results
The space group is R-3m (166). The calculated formation energy comes out at -0.16 eV per atom. The value obtained for the magnetization is 0.0 μB/f.u. Its volume is 90 Å³/f.u.


What is the magnetization in the fourth record?
0.0 μB/f.u.


Number 3 is which compound?
TiCdAgF6